Mg3UIr4, optimized geometry, DFT PBE-GGA; ΔE_f = -4.01 eV per formula unit
1.0
4.288 0.000 0.000
0.000 4.288 0.000
0.000 0.000 7.152
Mg U Ir
3 1 4
direct
0.000 0.000 0.000
0.000 0.000 0.500
0.500 0.500 0.000
0.500 0.500 0.500
0.000 0.500 0.249
0.000 0.500 0.751
0.500 0.000 0.249
0.500 0.000 0.751

MgU2Ir9, optimized geometry, DFT PBE-GGA; ΔE_f = -6.01 eV per formula unit
1.0
4.021 0.000 0.000
0.000 4.021 0.000
0.000 0.000 11.908
Mg U Ir
1 2 9
direct
0.000 0.000 0.000
0.000 0.000 0.325
0.000 0.000 0.675
0.000 0.500 0.163
0.000 0.500 0.500
0.000 0.500 0.837
0.500 0.000 0.163
0.500 0.000 0.500
0.500 0.000 0.837
0.500 0.500 0.000
0.500 0.500 0.332
0.500 0.500 0.668

MgV2Ir, optimized geometry, DFT PBE-GGA; ΔE_f = 1.22 eV per formula unit
1.0
7.241 0.000 0.000
0.000 7.241 0.000
0.000 0.000 5.197
Mg V Ir
4 8 4
direct
0.000 0.000 0.000
0.000 0.500 0.250
0.500 0.000 0.750
0.500 0.500 0.500
0.199 0.250 0.625
0.250 0.699 0.875
0.250 0.801 0.375
0.301 0.250 0.125
0.699 0.750 0.125
0.750 0.199 0.375
0.750 0.301 0.875
0.801 0.750 0.625
0.000 0.000 0.500
0.000 0.500 0.750
0.500 0.000 0.250
0.500 0.500 0.000

Mg3VIr, optimized geometry, DFT PBE-GGA; ΔE_f = 2.60 eV per formula unit
1.0
4.923 0.000 0.000
0.000 4.923 0.000
0.000 0.000 4.923
Mg V Ir
3 1 1
direct
0.000 0.000 0.500
0.000 0.500 0.000
0.500 0.000 0.000
0.500 0.500 0.500
0.000 0.000 0.000

MgV2Ir3, optimized geometry, DFT PBE-GGA; ΔE_f = -2.86 eV per formula unit
1.0
2.848 0.000 0.000
0.000 2.848 0.000
0.000 0.000 10.696
Mg V Ir
1 2 3
direct
0.000 0.000 0.000
0.000 0.000 0.332
0.000 0.000 0.668
0.500 0.500 0.181
0.500 0.500 0.500
0.500 0.500 0.819

MgVIr, optimized geometry, DFT PBE-GGA; ΔE_f = -0.68 eV per formula unit
1.0
3.041 0.000 0.000
0.000 3.041 0.000
0.000 0.000 9.958
Mg V Ir
2 2 2
direct
0.000 0.000 0.000
0.500 0.500 0.500
0.000 0.000 0.687
0.500 0.500 0.187
0.000 0.000 0.322
0.500 0.500 0.822

MgV3Ir, optimized geometry, DFT PBE-GGA; ΔE_f = 4.16 eV per formula unit
1.0
4.647 0.000 0.000
0.000 4.647 0.000
0.000 0.000 4.647
Mg V Ir
1 3 1
direct
0.000 0.000 0.000
0.000 0.500 0.500
0.500 0.000 0.500
0.500 0.500 0.000
0.500 0.500 0.500

Mg3VIr, optimized geometry, DFT PBE-GGA; ΔE_f = 7.37 eV per formula unit
1.0
4.847 0.000 0.000
0.000 4.847 0.000
0.000 0.000 4.847
Mg V Ir
3 1 1
direct
0.000 0.000 0.500
0.000 0.500 0.000
0.500 0.000 0.000
0.000 0.000 0.000
0.500 0.500 0.500

| no. | D(E_F) (states/eV/atom) | total energy (eV/atom) |
| --- | --- | --- |
| 1 | 0.4461 | -6.941 |
| 2 | 0.7483 | -9.161 |
| 3 | 1.3295 | -6.868 |
| 4 | 1.6143 | -4.033 |
| 5 | 0.9654 | -8.213 |
| 6 | 0.6643 | -6.753 |
| 7 | 1.5343 | -6.731 |
| 8 | 0.7284 | -3.078 |